{
  "formula": "Li7Mn2Co3O12",
  "functional": "GGA+U",
  "state": "relaxed",
  "lattice": [[5.949, 0.000, 0.000], [0.000, 2.940, 0.000], [-2.827, 0.000, 12.268]],
  "species": ["Li", "Li", "Li", "Li", "Li", "Li", "Li", "Mn", "Mn", "Co", "Co", "Co", "O", "O", "O", "O", "O", "O", "O", "O", "O", "O", "O", "O"],
  "frac_coords": [[0.000, 0.000, 0.000], [0.010, 0.500, 0.517], [0.178, 0.000, 0.348], [0.326, 0.500, 0.157], [0.517, 0.000, 0.996], [0.689, 0.500, 0.844], [0.846, 0.000, 0.684], [0.673, 0.000, 0.340], [0.845, 0.500, 0.165], [0.176, 0.500, 0.847], [0.356, 0.000, 0.675], [0.505, 0.500, 0.513], [0.064, 0.000, 0.176], [0.114, 0.500, 0.692], [0.258, 0.000, 0.517], [0.258, 0.500, 0.990], [0.413, 0.000, 0.835], [0.449, 0.500, 0.333], [0.589, 0.500, 0.678], [0.622, 0.000, 0.178], [0.743, 0.000, 0.493], [0.767, 0.500, 0.019], [0.895, 0.500, 0.333], [0.953, 0.000, 0.842]],
  "e_above_lowest_polymorph_ev_per_fu": 1.62,
  "dft_energy_ev_per_fu": -139.90,
  "space_group": "Pm, No. 6",
  "dos_at_fermi_per_ev_atom": 0.101
}